The following is a PBE calculation of Rb4Sm3PaSe8 after structural relaxation, from Alexandria.

Cell lengths 8.6146, 9.4487, 8.6152 Å; angles 117.12, 120.00, 90.00 degrees
With the nearest neighbours (Å) after each atom.
Fractional coordinates of all 16 atoms:
Rb 0.5000 0.0000 0.0000  6 Se 3.49
Rb 0.5000 0.0000 0.5000  6 Se 3.45-3.46
Rb 0.0000 0.0000 0.0000  6 Se 3.45-3.46
Rb 0.0000 0.0000 0.5000  6 Se 3.45-3.46
Sm 0.5000 0.5000 0.0000  6 Se 2.96-2.97
Sm 0.5000 0.5000 0.5000  6 Se 2.96-2.97
Sm 0.0000 0.5000 0.5000  6 Se 2.96-2.97
Pa 0.0000 0.5000 0.0000  6 Se 2.93
Se 0.2307 0.6994 0.9688  1 Pa 2.93, 2 Sm 2.97
Se 0.2308 0.6995 0.4615  1 Pa 2.93, 2 Sm 2.97
Se 0.2664 0.2994 0.5328  3 Sm 2.96
Se 0.7380 0.6994 0.9688  1 Pa 2.93, 2 Sm 2.97
Se 0.2620 0.3006 0.0312  1 Pa 2.93, 2 Sm 2.97
Se 0.7336 0.7006 0.4672  3 Sm 2.96
Se 0.7692 0.3005 0.5385  1 Pa 2.93, 2 Sm 2.97
Se 0.7693 0.3006 0.0312  1 Pa 2.93, 2 Sm 2.97

Summary:
Symmetry ... No. 166

---

The following is a PBE calculation of Li2BeAg after structural relaxation, from Alexandria.

Cell lengths 4.7457, 4.7457, 2.7316 Å; angles 90.00, 90.00, 113.13 degrees
With the nearest neighbours (Å) after each atom.
Fractional coordinates of all 4 atoms:
Ag 0.5000 0.0000 0.5000  2 Be 2.61, 2 Ag 2.73, 8 Li 2.74
Be 0.0000 0.5000 0.5000  2 Ag 2.61, 2 Be 2.73, 8 Li 2.74
Li 0.0000 0.0000 0.0000  4 Li 2.61-2.73, 4 Ag 2.74, 4 Be 2.74
Li 0.5000 0.5000 0.0000  4 Li 2.61-2.73, 4 Be 2.74, 4 Ag 2.74

Summary:
ΔE_f ... 0.12 eV/atom
Symmetry ... No. 65

---

The following is a PBE calculation of TlSbPb2 after structural relaxation, from Alexandria.

Cell lengths 6.0014, 6.1728, 6.9503 Å; angles 94.53, 90.00, 90.00 degrees
With the nearest neighbours (Å) after each atom.
Fractional coordinates of all 8 atoms:
Tl 0.7500 0.3684 0.8221  1 Sb 3.30, 5 Pb 3.38-3.60
Tl 0.2500 0.6316 0.1779  1 Sb 3.30, 5 Pb 3.38-3.60
Sb 0.7500 0.2855 0.3474  5 Pb 3.18-3.30, 1 Tl 3.30
Sb 0.2500 0.7145 0.6526  5 Pb 3.18-3.30, 1 Tl 3.30
Pb 0.7500 0.8883 0.0260  1 Sb 3.18, 3 Pb 3.33-3.42, 2 Tl 3.38-3.40
Pb 0.2500 0.1117 0.9740  1 Sb 3.18, 3 Pb 3.33-3.42, 2 Tl 3.38-3.40
Pb 0.7500 0.8037 0.5071  4 Sb 3.23-3.30, 2 Pb 3.42-3.60, 1 Tl 3.60
Pb 0.2500 0.1963 0.4929  4 Sb 3.23-3.30, 2 Pb 3.42-3.60, 1 Tl 3.60

Summary:
Energy relative to the lowest polymorph listed for this composition ... 0.43 kcal/mol of atoms
Symmetry ... No. 11

---

The following is a PBE calculation of NaH2S after structural relaxation, from Alexandria.

Cell lengths 3.9251, 3.9251, 7.1244 Å; angles 74.01, 74.01, 90.00 degrees
With the nearest neighbours (Å) after each atom.
Fractional coordinates of all 8 atoms:
Na 0.5000 0.5000 0.0000  8 H 2.74, 4 S 2.78
Na 0.2500 0.7500 0.5000  8 H 2.74, 4 S 2.78
S 0.0000 0.0000 0.0000  4 H 1.91
S 0.7500 0.2500 0.5000  4 H 1.91
H 0.8753 0.1250 0.2500  2 S 1.91, 2 H 1.96
H 0.8747 0.6250 0.2500  2 S 1.91, 2 H 1.96
H 0.3750 0.1247 0.7500  2 S 1.91, 2 H 1.96
H 0.8750 0.1253 0.7500  2 S 1.91, 2 H 1.96

Summary:
Energy relative to the lowest polymorph listed for this composition ... 3.40 kcal/mol of atoms
Symmetry ... No. 141

---

The following is a PBE calculation of FeNiBrN2 after structural relaxation, from Alexandria.

Cell lengths 3.4996, 3.4996, 5.5661 Å; angles 90.00, 90.00, 90.00 degrees
With the nearest neighbours (Å) after each atom.
Fractional coordinates of all 5 atoms:
Ni 0.0000 0.0000 0.5000  4 Br 2.47
Fe 0.0000 0.0000 0.0000  4 N 1.75
Br 0.5000 0.5000 0.5000  4 Ni 2.47
N 0.0000 0.5000 0.0000  2 Fe 1.75
N 0.5000 0.0000 0.0000  2 Fe 1.75

Summary:
Symmetry ... No. 123

---

The following is a PBE calculation of LaCoSCl2 after structural relaxation, from Alexandria.

Cell lengths 5.5030, 5.5030, 5.6020 Å; angles 90.00, 90.00, 90.00 degrees
With the nearest neighbours (Å) after each atom.
Fractional coordinates of all 5 atoms:
S 0.0000 0.0000 0.5000  2 La 2.80
Cl 0.0000 0.5000 0.0000  2 La 2.75
Cl 0.5000 0.0000 0.0000  2 La 2.75
Co 0.5000 0.5000 0.5000  4 S 3.89, 8 Cl 3.93
La 0.0000 0.0000 0.0000  4 Cl 2.75, 2 S 2.80

Summary:
Symmetry ... No. 123

---

The following is a PBE calculation of Ho8SnGe5 after structural relaxation, from Alexandria.

Cell lengths 7.6899, 7.6899, 7.6899 Å; angles 109.27, 109.87, 109.27 degrees
With the nearest neighbours (Å) after each atom.
Fractional coordinates of all 14 atoms:
Ho 0.1201 0.7560 0.0143  5 Ge 2.89-3.24, 1 Sn 3.01
Ho 0.9857 0.1058 0.7417  5 Ge 2.89-3.24, 1 Sn 3.01
Ho 0.7511 0.2490 0.3732  3 Ge 2.88-2.91
Ho 0.6268 0.3779 0.8758  3 Ge 2.88-2.91
Ho 0.4979 0.6221 0.2489  3 Ge 2.88-2.91
Ho 0.6358 0.8942 0.8799  5 Ge 2.89-3.24, 1 Sn 3.01
Ho 0.2583 0.2440 0.3642  5 Ge 2.89-3.24, 1 Sn 3.01
Ho 0.1242 0.7510 0.5021  3 Ge 2.88-2.91
Sn 0.2500 0.5000 0.7500  8 Ho 3.01-3.27
Ge 0.0031 0.3765 0.1251  5 Ho 2.88-3.18
Ge 0.8749 0.8780 0.2514  5 Ho 2.88-3.18
Ge 0.7486 0.6235 0.6266  5 Ho 2.88-3.18
Ge 0.5000 0.0000 0.5000  8 Ho 2.90-3.22
Ge 0.3734 0.1220 0.9969  5 Ho 2.88-3.18

Summary:
ΔE_f ... -0.82 eV/atom
Symmetry ... No. 82

---

The following is a PBE calculation of La2Pm7Tm2 after structural relaxation, from Alexandria.

Cell lengths 8.8243, 6.0628, 8.8243 Å; angles 63.95, 98.59, 116.05 degrees
With the nearest neighbours (Å) after each atom.
Fractional coordinates of all 11 atoms:
La 0.2266 0.8376 0.7734  7 Pm 3.44-3.80, 2 Tm 3.55
La 0.7734 0.1624 0.2266  7 Pm 3.44-3.80, 2 Tm 3.55
Pm 0.4078 0.1886 0.0385  2 Pm 3.17-3.28, 2 Tm 3.40-3.54, 1 La 3.44
Pm 0.0385 0.8114 0.4078  2 Pm 3.17-3.28, 2 Tm 3.40-3.54, 1 La 3.44
Pm 0.5922 0.8114 0.9615  2 Pm 3.17-3.28, 2 Tm 3.40-3.54, 1 La 3.44
Pm 0.9615 0.1886 0.5922  2 Pm 3.17-3.28, 2 Tm 3.40-3.54, 1 La 3.44
Pm 0.5732 0.3489 0.4268  2 Pm 3.37-3.48, 1 La 3.46, 2 Tm 3.64
Pm 0.0000 0.0000 0.0000  4 Pm 3.28
Pm 0.4268 0.6511 0.5732  2 Pm 3.37-3.48, 1 La 3.46, 2 Tm 3.64
Tm 0.7799 0.5000 0.7799  6 Pm 3.40-3.64, 2 La 3.55
Tm 0.2201 0.5000 0.2201  6 Pm 3.40-3.64, 2 La 3.55

Summary:
ΔE_f ... 0.14 eV/atom
Energy relative to the lowest polymorph listed for this composition ... 0.00 kcal/mol of atoms
Symmetry ... No. 12

---

The following is a PBE calculation of ZnInFe2 after structural relaxation, from Alexandria.

Cell lengths 3.0696, 3.0696, 6.4425 Å; angles 90.00, 90.00, 90.00 degrees
With the nearest neighbours (Å) after each atom.
Fractional coordinates of all 4 atoms:
Fe 0.0000 0.0000 0.0221  4 Fe 2.46, 4 Zn 2.60
Fe 0.5000 0.5000 0.2011  4 Fe 2.46, 1 Zn 2.59
In 0.0000 0.0000 0.4773  5 Fe 2.81-2.93, 4 Zn 3.00, 4 In 3.07
Zn 0.5000 0.5000 0.7995  5 Fe 2.59-2.60

Summary:
ΔE_f ... 0.13 eV/atom
Symmetry ... No. 99

---

The following is a PBE calculation of Al2InRu2 after structural relaxation, from Alexandria.

Cell lengths 7.1076, 7.1076, 3.1364 Å; angles 90.00, 90.00, 90.00 degrees
With the nearest neighbours (Å) after each atom.
Fractional coordinates of all 10 atoms:
Ru 0.3472 0.8472 0.0000  6 Al 2.61, 2 In 2.70
Ru 0.8472 0.6528 0.0000  6 Al 2.61, 2 In 2.70
Ru 0.6528 0.1528 0.0000  6 Al 2.61, 2 In 2.70
Ru 0.1528 0.3472 0.0000  6 Al 2.61, 2 In 2.70
Al 0.1401 0.6401 0.5000  6 Ru 2.61, 1 Al 2.82
Al 0.6401 0.8599 0.5000  6 Ru 2.61, 1 Al 2.82
Al 0.8599 0.3599 0.5000  6 Ru 2.61, 1 Al 2.82
Al 0.3599 0.1401 0.5000  6 Ru 2.61, 1 Al 2.82
In 0.0000 0.0000 0.0000  4 Ru 2.70
In 0.5000 0.5000 0.0000  4 Ru 2.70

Summary:
ΔE_f ... -0.37 eV/atom
Energy relative to the lowest polymorph listed for this composition ... 0.00 kcal/mol of atoms
Symmetry ... No. 127

---

The following is a PBE calculation of LiAl2Pd2 after structural relaxation, from Alexandria.

Cell lengths 7.3264, 7.3264, 2.8735 Å; angles 90.00, 90.00, 90.00 degrees
With the nearest neighbours (Å) after each atom.
Fractional coordinates of all 10 atoms:
Al 0.3604 0.8604 0.0000  6 Pd 2.55-2.61, 2 Li 2.83
Al 0.8604 0.6396 0.0000  6 Pd 2.55-2.61, 2 Li 2.83
Al 0.6396 0.1396 0.0000  6 Pd 2.55-2.61, 2 Li 2.83
Al 0.1396 0.3604 0.0000  6 Pd 2.55-2.61, 2 Li 2.83
Pd 0.1569 0.6569 0.5000  6 Al 2.55-2.61
Pd 0.6569 0.8431 0.5000  6 Al 2.55-2.61
Pd 0.8431 0.3431 0.5000  6 Al 2.55-2.61
Pd 0.3431 0.1569 0.5000  6 Al 2.55-2.61
Li 0.0000 0.0000 0.0000  4 Al 2.83, 2 Li 2.87, 8 Pd 3.12
Li 0.5000 0.5000 0.0000  4 Al 2.83, 2 Li 2.87, 8 Pd 3.12

Summary:
ΔE_f ... -0.76 eV/atom
Energy relative to the lowest polymorph listed for this composition ... 0.01 kcal/mol of atoms
Symmetry ... No. 127

---

The following is a PBE calculation of Th3CdRe after structural relaxation, from Alexandria.

Cell lengths 6.0769, 6.0769, 9.0201 Å; angles 101.40, 101.40, 114.41 degrees
With the nearest neighbours (Å) after each atom.
Fractional coordinates of all 10 atoms:
Th 0.3021 0.8021 0.1042  4 Re 3.16
Th 0.6979 0.1979 0.8958  4 Re 3.16
Th 0.0693 0.2052 0.2745  2 Re 2.92
Th 0.9307 0.7948 0.7255  2 Re 2.92
Th 0.7052 0.5694 0.2746  2 Re 2.92
Th 0.2948 0.4306 0.7254  2 Re 2.92
Cd 0.7059 0.2059 0.5000  1 Cd 2.71
Cd 0.2941 0.7941 0.5000  1 Cd 2.71
Re 0.2500 0.2500 0.0000  8 Th 2.92-3.16
Re 0.7500 0.7500 0.0000  8 Th 2.92-3.16

Summary:
ΔE_f ... -0.05 eV/atom
Symmetry ... No. 69

---

The following is a PBE calculation of Er2Mg2Ag3 after structural relaxation, from Alexandria.

Cell lengths 4.7879, 4.7937, 8.6400 Å; angles 89.99, 105.96, 120.06 degrees
With the nearest neighbours (Å) after each atom.
Fractional coordinates of all 7 atoms:
Er 0.2472 0.1236 0.3698  5 Ag 2.95-3.16
Er 0.7528 0.8764 0.6302  5 Ag 2.95-3.16
Mg 0.7421 0.3710 0.1134  7 Ag 2.92-2.97
Mg 0.2579 0.6290 0.8866  7 Ag 2.92-2.97
Ag 0.0000 0.0000 0.0000  6 Mg 2.92, 2 Er 3.03
Ag 0.5037 0.2520 0.7553  4 Mg 2.93-2.97, 4 Er 2.95-3.16
Ag 0.4963 0.7480 0.2447  4 Mg 2.93-2.97, 4 Er 2.95-3.16

Summary:
ΔE_f ... -0.16 eV/atom
Symmetry ... No. 12

---

Respective uncorrected energy values: -0.187, -0.091, -0.127, -0.107, -0.210, -0.168, -0.198, -0.169, -0.187, -0.225, -0.173, -0.264, -0.115 hartree per atom.